[1]
Crystalline AsRh3Au at its relaxed geometry. Source: Alexandria via LeMat-Bulk, functional GGA-PBE.

Computed properties:
The total energy is -4.32 eV/atom.

Cell: 4.8538 4.8538 4.8538 Å, 90.00 90.00 90.00°
With the nearest neighbours (Å) after each atom.
Fractional positions:
1 Au 0.0000 0.0000 0.0000  6 Rh 2.43
2 Rh 0.5000 0.0000 0.0000  2 Au 2.43
3 Rh 0.0000 0.0000 0.5000  2 Au 2.43
4 Rh 0.0000 0.5000 0.0000  2 Au 2.43
5 As 0.5000 0.5000 0.5000  12 Rh 3.43

***

[2]
Crystalline SrTmN at its relaxed geometry. Source: Alexandria via LeMat-Bulk, functional GGA-PBE.

Computed properties:
For the raw formation energy, the calculation gives -0.822 eV per atom. The energy above the most stable polymorph in this dataset comes out at 0 meV per atom.

Cell: 6.3714 3.6089 3.6089 Å, 120.00 90.00 90.00°
With the nearest neighbours (Å) after each atom.
Fractional positions:
1 Tm 0.1343 0.0000 0.0000  3 N 2.30
2 N 0.2866 0.3333 0.6667  3 Tm 2.30
3 Sr 0.5791 0.6667 0.3333  3 N 2.80